No. 1
SrNbN2O: relaxed, PBEsol.

Properties
* formation energy from raw total energies: 1.446 eV/atom
* calculated total energy: -5.547 eV per atom
* symmetry: P4/mmm, No. 123
* total magnetization: 1.2 Bohr magnetons per cell
* volume: 75.5 Å³/f.u.

Lattice parameters (Å, degrees): 4.213 4.213 4.254 90.00 90.00 90.00
Atoms (fractional coordinates):
Sr 0.000 0.000 0.000
Nb 0.500 0.500 0.500
O 0.000 0.000 0.500
N 0.000 0.500 0.000
N 0.500 0.000 0.000

=====

No. 2
NbTeN2O: relaxed, PBEsol.

Properties
* formation energy from raw total energies: 1.438 eV/atom
* calculated total energy: -5.892 eV per atom
* symmetry: P4/mmm, No. 123
* total magnetization: 0.0 Bohr magnetons per cell
* volume: 62.8 Å³/f.u.

Lattice parameters (Å, degrees): 3.993 3.993 3.938 90.00 90.00 90.00
Atoms (fractional coordinates):
Nb 0.500 0.500 0.500
Te 0.000 0.000 0.500
O 0.000 0.000 0.000
N 0.000 0.500 0.000
N 0.500 0.000 0.000

=====

No. 3
NbTeN2O: relaxed, PBEsol.

Properties
* formation energy from raw total energies: -0.134 eV/atom
* calculated total energy: -7.464 eV per atom
* symmetry: P4/mmm, No. 123
* total magnetization: 0.0 Bohr magnetons per cell
* volume: 67.5 Å³/f.u.

Lattice parameters (Å, degrees): 3.863 4.179 4.179 90.00 90.00 90.00
Atoms (fractional coordinates):
Nb 0.000 0.000 0.000
Te 0.500 0.500 0.500
O 0.500 0.000 0.000
N 0.000 0.000 0.500
N 0.000 0.500 0.000

=====

No. 4
YNbN2O: relaxed, PBEsol.

Properties
* formation energy from raw total energies: 0.348 eV/atom
* calculated total energy: -7.641 eV per atom
* symmetry: P4/mmm, No. 123
* total magnetization: 1.0 Bohr magnetons per cell
* volume: 72.4 Å³/f.u.

Lattice parameters (Å, degrees): 4.121 4.191 4.191 90.00 90.00 90.00
Atoms (fractional coordinates):
Y 0.000 0.000 0.000
Nb 0.500 0.500 0.500
O 0.500 0.000 0.000
N 0.000 0.000 0.500
N 0.000 0.500 0.000

=====

No. 5
NbZnNO2: relaxed, PBEsol.

Properties
* formation energy from raw total energies: -0.051 eV/atom
* calculated total energy: -6.337 eV per atom
* symmetry: P4/mmm, No. 123
* total magnetization: 0.7 Bohr magnetons per cell
* volume: 51.8 Å³/f.u.

Lattice parameters (Å, degrees): 3.673 3.673 3.836 90.00 90.00 90.00
Atoms (fractional coordinates):
Nb 0.500 0.500 0.500
Zn 0.000 0.000 0.000
O 0.000 0.500 0.000
O 0.500 0.000 0.000
N 0.000 0.000 0.500

=====

No. 6
Nb2OsN: relaxed, PBEsol.

Properties
* formation energy from raw total energies: 0.610 eV/atom
* calculated total energy: -9.986 eV per atom
* symmetry: Fm-3m, No. 225
* total magnetization: 0.0 Bohr magnetons per cell
* volume: 56.6 Å³/f.u.

Lattice parameters (Å, degrees): 4.310 4.310 4.310 60.00 60.00 60.00
Atoms (fractional coordinates):
Nb 0.250 0.250 0.250
Nb 0.750 0.750 0.750
Os 0.500 0.500 0.500
N 0.000 0.000 0.000

=====

No. 7
Nb3OsN: relaxed, PBEsol.

Properties
* formation energy from raw total energies: 2.178 eV/atom
* calculated total energy: -8.463 eV per atom
* symmetry: Pm-3m, No. 221
* total magnetization: 0.0 Bohr magnetons per cell
* volume: 109.3 Å³/f.u.

Lattice parameters (Å, degrees): 4.781 4.781 4.781 90.00 90.00 90.00
Atoms (fractional coordinates):
Nb 0.000 0.500 0.000
Nb 0.000 0.000 0.500
Nb 0.500 0.000 0.000
Os 0.000 0.000 0.000
N 0.500 0.500 0.500

=====

No. 8
NbTeOsN2: relaxed, PBEsol.

Properties
* formation energy from raw total energies: 0.948 eV/atom
* calculated total energy: -7.775 eV per atom
* symmetry: P4/mmm, No. 123
* total magnetization: 2.2 Bohr magnetons per cell
* volume: 83.6 Å³/f.u.

Lattice parameters (Å, degrees): 3.851 3.851 5.636 90.00 90.00 90.00
Atoms (fractional coordinates):
Nb 0.500 0.500 0.500
Te 0.000 0.000 0.500
Os 0.000 0.000 0.000
N 0.000 0.500 0.000
N 0.500 0.000 0.000